Compound: TaCuTc3
Source: Alexandria
Functional: PBE
Structure: optimized geometry

abc: 4.723 4.723 4.723
angles: 90.00 90.00 90.00
Last column: magnetic moment on the atom in μB.
Atoms (fractional coordinates):
Tc 0.000 0.500 0.000  0.83
Tc 0.000 0.000 0.500  0.68
Tc 0.500 0.000 0.000  0.86
Cu 0.500 0.500 0.500  0.08
Ta 0.000 0.000 0.000  -0.10

Output
For the polymorph energy (0 for the lowest one), the calculation gives 11.67 kcal/mol of atoms. The density is 8.489 g/cm3. The calculation puts the energy of formation at 1929 meV per atom. As for the total magnetization: 2.52 Bohr magnetons per cell.